1.
Here is crystalline CsSiTeHSe at its relaxed geometry from Alexandria. Energies are from GGA-PBE.

Output
Excess energy over the best structure of this formula in the dataset, eV per formula unit: 0.32
Magnetization, μB/cell: 0.00
SG: P1

Cell lengths 3.882, 6.704, 7.249 Å; angles 108.52, 103.32, 89.96 degrees
Fractional positions:
Si: 0.276 0.393 0.247
H: 0.209 0.536 0.122
Se: 0.709 0.170 0.133
Cs: 0.997 0.090 0.641
Te: 0.484 0.578 0.607

***

2.
Here is crystalline Mg5HgRh2 at its relaxed geometry from Alexandria. Energies are from GGA-PBE.

Output
Magnetization, μB/cell: 0.00
DFT formation energy, eV/atom: -0.3132
SG: Pbam

Cell lengths 4.276, 5.736, 11.498 Å; angles 90.00, 90.00, 90.00 degrees
Fractional positions:
Mg: 0.000 0.049 0.756
Mg: 0.000 0.500 0.000
Mg: 0.500 0.780 0.884
Mg: 0.500 0.720 0.384
Mg: 0.500 0.280 0.616
Mg: 0.000 0.000 0.500
Mg: 0.000 0.549 0.744
Mg: 0.000 0.951 0.244
Mg: 0.500 0.220 0.116
Mg: 0.000 0.451 0.256
Hg: 0.000 0.000 0.000
Hg: 0.000 0.500 0.500
Rh: 0.500 0.703 0.141
Rh: 0.500 0.797 0.641
Rh: 0.500 0.203 0.359
Rh: 0.500 0.297 0.859

***

3.
Here is crystalline NbGaCu3 at its relaxed geometry from Alexandria. Energies are from GGA-PBE.

Output
Excess energy over the best structure of this formula in the dataset, eV per formula unit: 3.00
Magnetization, μB/cell: 0.00
DFT formation energy, eV/atom: 1.3574
SG: Pm-3m

Cell lengths 4.846, 4.846, 4.846 Å; angles 90.00, 90.00, 90.00 degrees
Fractional positions:
Cu: 0.000 0.500 0.000
Cu: 0.500 0.000 0.000
Cu: 0.000 0.000 0.500
Ga: 0.500 0.500 0.500
Nb: 0.000 0.000 0.000